LaPm2Gd: relaxed, PBE-GGA.

Cell: 5.187 5.166 5.166 Å, 90.00 90.00 90.00°
Last column: magnetic moment on the atom in μB.
Element x y z (fractional)
Pm1 0.000 0.000 0.500  0.00
Pm2 0.000 0.500 0.000  0.00
Gd1 0.500 0.000 0.000  7.18
La1 0.500 0.500 0.500  -0.01

Energy relative to the elements ... 0.1 eV/f.u.
Symmetry ... P4/mmm (123)
Magnetic moment ... 7.45 μB/f.u.
Relative energy among the computed polymorphs ... 0.0 meV/atom
Crystal system ... tetragonal